(1)
Computed, not measured: a PBEsol-optimized structure of SrCdBr2 at the meta-GGA SCAN level of DFT.

Calculated values
space-group type	Fm-3m
offset from the most stable computed form	0.0000	eV per atom
formation energy from raw total energies	-1391	meV/atom

Cell lengths 5.434, 5.434, 5.434 Å; angles 60.00, 60.00, 60.00 degrees
Positions (direct):
Cd  0.500  0.500  0.500
Br  0.750  0.750  0.750
Sr  0.000  0.000  0.000
Br  0.250  0.250  0.250

=====

(2)
Computed, not measured: a PBEsol-optimized structure of Ba2ScTc at the meta-GGA SCAN level of DFT.

Calculated values
space-group type	R-3m
offset from the most stable computed form	0.6928	eV per atom

Cell lengths 3.538, 3.538, 10.662 Å; angles 80.45, 80.45, 60.00 degrees
Positions (direct):
Sc  0.500  0.500  0.500
Tc  0.000  0.000  0.000
Ba  0.738  0.738  0.786
Ba  0.262  0.262  0.214

=====

(3)
Computed, not measured: a PBEsol-optimized structure of ScZnFe at the meta-GGA SCAN level of DFT.

Calculated values
space-group type	Imm2
E	-15.4271	eV per atom

Cell lengths 2.938, 3.387, 5.008 Å; angles 109.76, 107.06, 90.00 degrees
Positions (direct):
Sc  0.659  0.659  0.318
Fe  0.989  0.989  0.977
Zn  0.352  0.352  0.705

=====

(4)
Computed, not measured: a PBEsol-optimized structure of La2BeAs at the meta-GGA SCAN level of DFT.

Calculated values
space-group type	R-3m
offset from the most stable computed form	0.0000	eV per atom

Cell lengths 4.209, 4.209, 7.725 Å; angles 74.19, 74.19, 60.00 degrees
Positions (direct):
La  0.746  0.746  0.763
La  0.254  0.254  0.237
As  0.000  0.000  0.000
Be  0.500  0.500  0.500

=====

(5)
Computed, not measured: a PBEsol-optimized structure of LiMn2OF3 at the meta-GGA SCAN level of DFT.

Calculated values
space-group type	R3m
offset from the most stable computed form	0.0000	eV per atom
formation energy from raw total energies	-2630	meV/atom

Cell lengths 6.159, 6.159, 6.184 Å; angles 60.14, 60.14, 60.00 degrees
Positions (direct):
O  0.272  0.272  0.185
Mn  0.849  0.849  0.453
F  0.741  0.741  0.265
Mn  0.498  0.008  0.997
Mn  0.008  0.498  0.997
Mn  0.498  0.498  0.997
F  0.265  0.747  0.723
F  0.253  0.741  0.265
F  0.741  0.253  0.265
O  0.724  0.724  0.827
F  0.265  0.265  0.723
F  0.747  0.265  0.723
Li  0.498  0.498  0.506
Li  0.142  0.142  0.574

=====

(6)
Computed, not measured: a PBEsol-optimized structure of SrScCr2 at the meta-GGA SCAN level of DFT.

Calculated values
space-group type	C2/m
offset from the most stable computed form	0.1309	eV per atom

Cell lengths 3.153, 4.734, 6.726 Å; angles 97.49, 90.00, 109.45 degrees
Positions (direct):
Sr  0.000  0.000  0.500
Cr  0.245  0.489  0.165
Cr  0.755  0.511  0.835
Sc  0.500  0.000  0.000

=====

(7)
Computed, not measured: a PBEsol-optimized structure of RbReOF2 at the meta-GGA SCAN level of DFT.

Calculated values
space-group type	P4/mmm
formation energy from raw total energies	-1699	meV/atom

Cell lengths 3.807, 4.349, 4.349 Å; angles 90.00, 90.00, 90.00 degrees
Positions (direct):
Rb  0.500  0.500  0.500
F  0.000  0.000  0.500
F  0.000  0.500  0.000
O  0.500  0.000  0.000
Re  0.000  0.000  0.000

=====

(8)
Computed, not measured: a PBEsol-optimized structure of Ca2Te at the meta-GGA SCAN level of DFT.

Calculated values
space-group type	I4/mmm
formation energy from raw total energies	-998	meV/atom

Cell lengths 3.865, 3.865, 7.166 Å; angles 105.65, 105.65, 90.00 degrees
Positions (direct):
Ca  0.363  0.363  0.726
Ca  0.637  0.637  0.274
Te  0.000  0.000  0.000

=====

(9)
Computed, not measured: a PBEsol-optimized structure of CaTi2Br at the meta-GGA SCAN level of DFT.

Calculated values
space-group type	Fm-3m
formation energy from raw total energies	892	meV/atom

Cell lengths 4.851, 4.851, 4.851 Å; angles 60.00, 60.00, 60.00 degrees
Positions (direct):
Ca  0.000  0.000  0.000
Ti  0.750  0.750  0.750
Br  0.500  0.500  0.500
Ti  0.250  0.250  0.250

=====

(10)
Computed, not measured: a PBEsol-optimized structure of LiNiP4O12 at the meta-GGA SCAN level of DFT.

Calculated values
space-group type	P2_1
offset from the most stable computed form	0.0357	eV per atom
formation energy from raw total energies	-2195	meV/atom

Cell lengths 5.017, 7.096, 13.017 Å; angles 90.00, 90.00, 100.45 degrees
Positions (direct):
P  0.004  0.613  0.132
Li  0.597  0.115  0.948
O  0.706  0.405  0.646
O  0.271  0.407  0.918
Ni  0.492  0.414  0.778
P  0.986  0.516  0.414
O  0.401  0.325  0.295
O  0.808  0.522  0.213
Ni  0.508  0.586  0.278
O  0.067  0.699  0.874
O  0.968  0.828  0.113
O  0.192  0.478  0.713
P  0.230  0.043  0.667
O  0.599  0.675  0.795
O  0.933  0.301  0.374
P  0.861  0.814  0.817
O  0.898  0.507  0.027
O  0.169  0.016  0.377
O  0.032  0.172  0.613
O  0.294  0.595  0.146
P  0.770  0.957  0.167
O  0.360  0.149  0.763
O  0.225  0.642  0.361
P  0.139  0.186  0.317
O  0.640  0.851  0.263
O  0.775  0.358  0.861
O  0.606  0.030  0.088
O  0.729  0.593  0.418
O  0.394  0.970  0.588
O  0.102  0.493  0.527
Li  0.403  0.885  0.448
O  0.987  0.134  0.210
O  0.013  0.866  0.710
P  0.014  0.484  0.914
P  0.996  0.387  0.632
O  0.831  0.984  0.877

=====

(11)
Computed, not measured: a PBEsol-optimized structure of TlNiAg at the meta-GGA SCAN level of DFT.

Calculated values
space-group type	P3m1
offset from the most stable computed form	0.0000	eV per atom

Cell lengths 3.059, 3.059, 6.395 Å; angles 90.00, 90.00, 120.00 degrees
Positions (direct):
Ag  0.000  0.000  0.973
Tl  0.333  0.667  0.358
Ni  0.667  0.333  0.670

=====

(12)
Computed, not measured: a PBEsol-optimized structure of ScSi2HCl at the meta-GGA SCAN level of DFT.

Calculated values
space-group type	P4/mmm
E	-8.7106	eV per atom

Cell lengths 3.099, 5.100, 5.100 Å; angles 90.00, 90.00, 90.00 degrees
Positions (direct):
Si  0.000  0.000  0.500
Si  0.000  0.500  0.000
Cl  0.000  0.000  0.000
H  0.500  0.000  0.000
Sc  0.500  0.500  0.500

=====

(13)
Computed, not measured: a PBEsol-optimized structure of Ge3PbI at the meta-GGA SCAN level of DFT.

Calculated values
space-group type	Pm-3m
formation energy from raw total energies	1150	meV/atom

Cell lengths 5.373, 5.373, 5.373 Å; angles 90.00, 90.00, 90.00 degrees
Positions (direct):
Ge  0.000  0.500  0.000
Ge  0.500  0.000  0.000
Ge  0.000  0.000  0.500
Pb  0.500  0.500  0.500
I  0.000  0.000  0.000

=====

| no. | V (Å³/cell) |
| --- | --- |
| 1 | 113 |
| 2 | 113 |
| 3 | 45 |
| 4 | 113 |
| 5 | 166 |
| 6 | 94 |
| 7 | 72 |
| 8 | 99 |
| 9 | 81 |
| 10 | 456 |
| 11 | 52 |
| 12 | 81 |
| 13 | 155 |